This record from Alexandria via LeMat-Bulk describes a relaxed structure of Ac3TePb2. The functional is PBE-GGA.

VASP energy, eV/atom: -4.671
Magnetization, μB per atom: 0.000
Formation energy from raw total energies, eV/atom: -0.857

abc: 6.837 14.522 9.638
angles: 90.00 90.03 90.00
Fractional positions:
Ac (0.249, 0.082, 0.126)
Ac (0.249, 0.085, 0.626)
Ac (0.249, 0.415, 0.126)
Ac (0.249, 0.418, 0.626)
Ac (0.251, 0.749, 0.624)
Ac (0.251, 0.751, 0.124)
Ac (0.749, 0.249, 0.876)
Ac (0.749, 0.251, 0.376)
Ac (0.751, 0.582, 0.374)
Ac (0.751, 0.585, 0.874)
Ac (0.751, 0.915, 0.374)
Ac (0.751, 0.918, 0.874)
Te (0.251, 0.582, 0.878)
Te (0.251, 0.918, 0.378)
Te (0.749, 0.082, 0.622)
Te (0.749, 0.418, 0.122)
Pb (0.249, 0.248, 0.374)
Pb (0.249, 0.252, 0.874)
Pb (0.251, 0.583, 0.374)
Pb (0.251, 0.917, 0.874)
Pb (0.749, 0.083, 0.126)
Pb (0.749, 0.417, 0.626)
Pb (0.751, 0.748, 0.126)
Pb (0.751, 0.752, 0.626)